No. 1
VASP calculation (GGA-PBE) on a relaxed ScTcRh3 crystal.

Calculated values
The electronic total energy comes out at -7.129 eV/atom. As for the relative energy among the computed polymorphs: 0 kJ/mol of formula units. Its total magnetization is 0.000 μB per atom. Its symmetry is Pm-3m. The calculation puts the formation energy at 0.622 eV/atom.

a = 4.661 Å, b = 4.661 Å, c = 4.661 Å
α = 90.00°, β = 90.00°, γ = 90.00°
Fractional positions:
Sc  0.500  0.500  0.500
Rh  0.000  0.500  0.000
Rh  0.000  0.000  0.500
Rh  0.500  0.000  0.000
Tc  0.000  0.000  0.000

=====

No. 2
VASP calculation (GGA-PBE) on a relaxed Y3ScN crystal.

Calculated values
The electronic total energy comes out at -5.112 eV/atom. Its uncorrected formation energy is 1698 meV/atom. As for the relative energy among the computed polymorphs: 1088 kJ/mol of formula units. Its total magnetization is 0.226 μB per atom. Its symmetry is Pm-3m.

a = 5.408 Å, b = 5.408 Å, c = 5.408 Å
α = 90.00°, β = 90.00°, γ = 90.00°
Fractional positions:
Y  0.000  0.500  0.000
Y  0.000  0.000  0.500
Y  0.500  0.000  0.000
Sc  0.000  0.000  0.000
N  0.500  0.500  0.500

=====

No. 3
VASP calculation (GGA-PBE) on a relaxed CsZnAs2Br crystal.

Calculated values
The electronic total energy comes out at -1.558 eV/atom. Its uncorrected formation energy is 1062 meV/atom. As for the relative energy among the computed polymorphs: 562 kJ/mol of formula units. Its total magnetization is 0.784 μB per atom. Its symmetry is P4/mmm.

a = 6.231 Å, b = 6.231 Å, c = 6.529 Å
α = 90.00°, β = 90.00°, γ = 90.00°
Fractional positions:
Cs  0.000  0.000  0.000
As  0.000  0.500  0.000
As  0.500  0.000  0.000
Zn  0.500  0.500  0.500
Br  0.000  0.000  0.500

=====

No. 4
VASP calculation (GGA-PBE) on a relaxed Ca2PuSe3 crystal.

Calculated values
The electronic total energy comes out at -6.603 eV/atom. Its uncorrected formation energy is -1805 meV/atom. Its total magnetization is 0.987 μB per atom. Its symmetry is C2/m.

a = 7.277 Å, b = 7.277 Å, c = 7.293 Å
α = 80.42°, β = 80.42°, γ = 119.99°
Fractional positions:
Ca  0.500  0.500  0.500
Ca  0.000  0.000  0.000
Ca  0.834  0.166  0.500
Ca  0.166  0.834  0.500
Pu  0.667  0.333  0.000
Pu  0.333  0.667  0.000
Se  0.749  0.749  0.750
Se  0.251  0.251  0.250
Se  0.083  0.417  0.750
Se  0.417  0.083  0.750
Se  0.583  0.917  0.250
Se  0.917  0.583  0.250

=====

No. 5
VASP calculation (GGA-PBE) on a relaxed Fe2Pd8Pt crystal.

Calculated values
The electronic total energy comes out at -5.892 eV/atom. As for the relative energy among the computed polymorphs: 63 kJ/mol of formula units. Its total magnetization is 0.846 μB per atom. Its symmetry is Immm. The calculation puts the formation energy at -0.028 eV/atom.

a = 4.070 Å, b = 6.987 Å, c = 7.207 Å
α = 119.00°, β = 106.40°, γ = 90.00°
Fractional positions:
Pt  0.500  0.000  0.000
Fe  0.193  0.693  0.386
Fe  0.807  0.307  0.614
Pd  0.658  0.878  0.316
Pd  0.342  0.561  0.684
Pd  0.155  0.155  0.310
Pd  0.000  0.304  0.000
Pd  0.845  0.845  0.690
Pd  0.658  0.439  0.316
Pd  0.342  0.122  0.684
Pd  0.000  0.696  0.000

=====

No. 6
VASP calculation (GGA-PBE) on a relaxed SrMgRe2Mo crystal.

Calculated values
The electronic total energy comes out at -4.607 eV/atom. Its total magnetization is 0.443 μB per atom. Its symmetry is P4/mmm. The calculation puts the formation energy at 3.194 eV/atom.

a = 4.856 Å, b = 4.856 Å, c = 4.806 Å
α = 90.00°, β = 90.00°, γ = 90.00°
Fractional positions:
Re  0.000  0.500  0.000
Re  0.500  0.000  0.000
Mo  0.000  0.000  0.500
Mg  0.500  0.500  0.500
Sr  0.000  0.000  0.000

=====

No. 7
VASP calculation (GGA-PBE) on a relaxed AlSnRu2 crystal.

Calculated values
The electronic total energy comes out at -6.936 eV/atom. Its total magnetization is 0.000 μB per atom. Its symmetry is Pmma. The calculation puts the formation energy at -0.361 eV/atom.

a = 3.146 Å, b = 4.394 Å, c = 8.811 Å
α = 90.00°, β = 90.00°, γ = 90.00°
Fractional positions:
Al  0.500  0.250  0.883
Al  0.500  0.750  0.117
Sn  0.500  0.250  0.365
Sn  0.500  0.750  0.635
Ru  0.000  0.250  0.116
Ru  0.000  0.750  0.884
Ru  0.000  0.250  0.631
Ru  0.000  0.750  0.369

=====

No. 8
VASP calculation (GGA-PBE) on a relaxed Pm2Ho3Tm6Zr crystal.

Calculated values
The electronic total energy comes out at -4.833 eV/atom. Its total magnetization is 0.000 μB per atom. Its symmetry is C2/m. The calculation puts the formation energy at 0.051 eV/atom.

a = 6.052 Å, b = 6.052 Å, c = 11.558 Å
α = 94.99°, β = 94.99°, γ = 119.94°
Fractional positions:
Pm  0.333  0.667  0.000
Pm  0.667  0.333  0.000
Ho  0.166  0.834  0.500
Ho  0.834  0.166  0.500
Ho  0.500  0.500  0.500
Tm  0.917  0.591  0.753
Tm  0.756  0.756  0.247
Tm  0.083  0.409  0.247
Tm  0.591  0.917  0.753
Tm  0.244  0.244  0.753
Tm  0.409  0.083  0.247
Zr  0.000  0.000  0.000